Entry 1:
DFT (meta-GGA SCAN) results for a PBEsol-optimized structure of MgHg2Ge2. Values from VASP.

Values from the calculation:
E   -35.81 eV/atom

The structure in Quantum ESPRESSO input format:
```
&SYSTEM
  ibrav = 0, nat = 5, ntyp = 3
/
ATOMIC_SPECIES
Hg 200.59 Hg.upf
Ge 72.64 Ge.upf
Mg 24.30 Mg.upf
ATOMIC_POSITIONS crystal
Hg 0.4031 0.4031 0.8063
Ge 0.7500 0.2500 0.5000
Hg 0.5969 0.5969 0.1937
Mg 0.0000 0.0000 0.0000
Ge 0.2500 0.7500 0.5000
CELL_PARAMETERS angstrom
-2.4004 -2.5510 0.9933
1.9566 -2.5227 -1.7504
4.5115 1.1472 7.1763
```



Entry 2:
DFT (meta-GGA SCAN) results for a PBEsol-optimized structure of HgGe3Mo. Values from VASP.

Values from the calculation:
E   -31.75 eV/atom

The structure in Quantum ESPRESSO input format:
```
&SYSTEM
  ibrav = 0, nat = 5, ntyp = 3
/
ATOMIC_SPECIES
Mo 95.94 Mo.upf
Ge 72.64 Ge.upf
Hg 200.59 Hg.upf
ATOMIC_POSITIONS crystal
Mo 0.0000 0.0000 0.0000
Ge 0.0000 0.5000 0.0000
Ge 0.5000 0.0000 0.0000
Hg 0.5000 0.5000 0.5000
Ge 0.0000 0.0000 0.5000
CELL_PARAMETERS angstrom
-4.2639 2.2495 0.6557
-2.2819 -4.2958 -0.1010
0.5323 -0.3961 4.8198
```



Entry 3:
DFT (meta-GGA SCAN) results for a PBEsol-optimized structure of HgGeN3. Values from VASP.

Values from the calculation:
E   -20.51 eV/atom

The structure in Quantum ESPRESSO input format:
```
&SYSTEM
  ibrav = 0, nat = 5, ntyp = 3
/
ATOMIC_SPECIES
N 14.01 N.upf
Hg 200.59 Hg.upf
Ge 72.64 Ge.upf
ATOMIC_POSITIONS crystal
N 0.0000 0.5000 0.0000
Hg 0.0000 0.0000 0.0000
N 0.5000 0.0000 0.0000
N 0.0000 0.0000 0.5000
Ge 0.5000 0.5000 0.5000
CELL_PARAMETERS angstrom
4.2123 0.0000 0.0000
0.0000 4.2123 0.0000
0.0000 0.0000 4.2123
```



Entry 4:
DFT (meta-GGA SCAN) results for a PBEsol-optimized structure of Ni2HgGeOs. Values from VASP.

Values from the calculation:
E   -36.84 eV/atom

The structure in Quantum ESPRESSO input format:
```
&SYSTEM
  ibrav = 0, nat = 5, ntyp = 4
/
ATOMIC_SPECIES
Ni 58.69 Ni.upf
Os 190.23 Os.upf
Ge 72.64 Ge.upf
Hg 200.59 Hg.upf
ATOMIC_POSITIONS crystal
Ni 0.0000 0.5000 0.0000
Os 0.5000 0.5000 0.5000
Ni 0.5000 0.0000 0.0000
Ge 0.0000 0.0000 0.0000
Hg 0.0000 0.0000 0.5000
CELL_PARAMETERS angstrom
4.2026 0.0000 0.0000
0.0000 4.2026 0.0000
0.0000 0.0000 4.8346
```



Entry 5:
DFT (meta-GGA SCAN) results for a PBEsol-optimized structure of Ta2NiHgGe. Values from VASP.

Values from the calculation:
E   -46.42 eV/atom

The structure in Quantum ESPRESSO input format:
```
&SYSTEM
  ibrav = 0, nat = 5, ntyp = 4
/
ATOMIC_SPECIES
Ta 180.95 Ta.upf
Ni 58.69 Ni.upf
Ge 72.64 Ge.upf
Hg 200.59 Hg.upf
ATOMIC_POSITIONS crystal
Ta 0.0000 0.5000 0.0000
Ni 0.5000 0.0000 0.0000
Ta 0.0000 0.0000 0.5000
Ge 0.0000 0.0000 0.0000
Hg 0.5000 0.5000 0.5000
CELL_PARAMETERS angstrom
-1.3863 -1.3812 3.7075
4.4498 -1.0598 1.2690
0.5192 4.3549 1.8165
```



Entry 6:
DFT (meta-GGA SCAN) results for a PBEsol-optimized structure of TaHg2GeO. Values from VASP.

Values from the calculation:
E   -44.33 eV/atom

The structure in Quantum ESPRESSO input format:
```
&SYSTEM
  ibrav = 0, nat = 5, ntyp = 4
/
ATOMIC_SPECIES
Hg 200.59 Hg.upf
Ge 72.64 Ge.upf
O 16.00 O.upf
Ta 180.95 Ta.upf
ATOMIC_POSITIONS crystal
Hg 0.0000 0.5000 0.0000
Ge 0.0000 0.0000 0.0000
Hg 0.0000 0.0000 0.5000
O 0.5000 0.5000 0.5000
Ta 0.5000 0.0000 0.0000
CELL_PARAMETERS angstrom
4.8871 0.0000 0.0000
0.0000 4.8512 0.0000
0.0000 0.0000 4.8512
```



Entry 7:
DFT (meta-GGA SCAN) results for a PBEsol-optimized structure of HgGePS2. Values from VASP.

Values from the calculation:
E   -22.28 eV/atom

The structure in Quantum ESPRESSO input format:
```
&SYSTEM
  ibrav = 0, nat = 5, ntyp = 4
/
ATOMIC_SPECIES
Ge 72.64 Ge.upf
P 30.97 P.upf
S 32.06 S.upf
Hg 200.59 Hg.upf
ATOMIC_POSITIONS crystal
Ge 0.5000 0.5000 0.5000
P 0.5000 0.0000 0.0000
S 0.0000 0.0000 0.5000
S 0.0000 0.5000 0.0000
Hg 0.0000 0.0000 0.0000
CELL_PARAMETERS angstrom
4.8500 0.0000 0.0000
0.0000 4.9099 0.0000
0.0000 0.0000 4.9099
```



Entry 8:
DFT (meta-GGA SCAN) results for a PBEsol-optimized structure of Hg2GeSbP. Values from VASP.

Values from the calculation:
E   -39.87 eV/atom

The structure in Quantum ESPRESSO input format:
```
&SYSTEM
  ibrav = 0, nat = 5, ntyp = 4
/
ATOMIC_SPECIES
P 30.97 P.upf
Sb 121.76 Sb.upf
Ge 72.64 Ge.upf
Hg 200.59 Hg.upf
ATOMIC_POSITIONS crystal
P 0.5000 0.5000 0.5000
Sb 0.0000 0.0000 0.5000
Ge 0.0000 0.0000 0.0000
Hg 0.5000 0.0000 0.0000
Hg 0.0000 0.5000 0.0000
CELL_PARAMETERS angstrom
-3.9852 0.9483 -2.7975
-2.6704 -3.1647 2.7315
-1.3752 4.0305 3.3253
```



Please write out number 8 again, unchanged.
DFT (meta-GGA SCAN) results for a PBEsol-optimized structure of Hg2GeSbP. Values from VASP.

Values from the calculation:
E   -39.87 eV/atom

The structure in Quantum ESPRESSO input format:
```
&SYSTEM
  ibrav = 0, nat = 5, ntyp = 4
/
ATOMIC_SPECIES
P 30.97 P.upf
Sb 121.76 Sb.upf
Ge 72.64 Ge.upf
Hg 200.59 Hg.upf
ATOMIC_POSITIONS crystal
P 0.5000 0.5000 0.5000
Sb 0.0000 0.0000 0.5000
Ge 0.0000 0.0000 0.0000
Hg 0.5000 0.0000 0.0000
Hg 0.0000 0.5000 0.0000
CELL_PARAMETERS angstrom
-3.9852 0.9483 -2.7975
-2.6704 -3.1647 2.7315
-1.3752 4.0305 3.3253
```